# 1
{"formula": "BaF5", "functional": "PBE", "state": "relaxed", "cell": [[2.319, -4.178, 0.000], [2.319, 4.178, 0.000], [0.000, 0.000, 4.596]], "species": ["Ba", "F", "F", "F", "F", "F"], "fractional_positions": [[0.000, 0.000, 0.000], [0.243, 0.757, 0.500], [0.326, 0.674, 0.000], [0.500, 0.500, 0.500], [0.674, 0.326, 0.000], [0.757, 0.243, 0.500]], "formation_energy_uncorrected_mev_per_atom": -1698, "total_energy_ev_per_atom": -3.58, "n_ef_per_ev_fu": 3.567}

# 2
{"formula": "Nb5InGa", "functional": "PBE", "state": "relaxed", "cell": [[3.427, -4.174, 0.000], [3.427, 4.174, 0.000], [-2.308, 0.000, 9.381]], "species": ["Nb", "Nb", "Nb", "Nb", "Nb", "Nb", "Nb", "Nb", "Nb", "Nb", "In", "In", "Ga", "Ga"], "fractional_positions": [[0.103, 0.278, 0.045], [0.118, 0.882, 0.750], [0.278, 0.103, 0.545], [0.339, 0.461, 0.850], [0.461, 0.339, 0.350], [0.539, 0.661, 0.650], [0.661, 0.539, 0.150], [0.722, 0.897, 0.455], [0.882, 0.118, 0.250], [0.897, 0.722, 0.955], [0.232, 0.768, 0.250], [0.768, 0.232, 0.750], [0.000, 0.500, 0.500], [0.500, 0.000, 0.000]], "e_form_ev_per_atom": 0.0916, "total_energy_ev_per_atom": -7.92, "n_ef_per_ev_fu": 6.300}

# 3
{"formula": "SmThSbTe", "functional": "PBE", "state": "relaxed", "cell": [[0.000, 3.850, 3.850], [3.850, 0.000, 3.850], [3.850, 3.850, 0.000]], "species": ["Sm", "Th", "Sb", "Te"], "fractional_positions": [[0.000, 0.000, 0.000], [0.500, 0.500, 0.500], [0.250, 0.250, 0.250], [0.750, 0.750, 0.750]], "formation_energy_uncorrected_mev_per_atom": -1025, "total_energy_ev_per_atom": -5.88, "n_ef_per_ev_fu": 3.641}

# 4
{"formula": "DySc3Se2", "functional": "PBE", "state": "relaxed", "cell": [[7.562, -1.886, 0.000], [7.562, 1.886, 0.000], [-3.358, 0.000, 9.556]], "species": ["Dy", "Dy", "Sc", "Sc", "Sc", "Sc", "Sc", "Sc", "Se", "Se", "Se", "Se"], "fractional_positions": [[0.122, 0.122, 0.040], [0.878, 0.878, 0.960], [0.060, 0.060, 0.404], [0.282, 0.282, 0.622], [0.376, 0.376, 0.326], [0.624, 0.624, 0.674], [0.718, 0.718, 0.378], [0.940, 0.940, 0.596], [0.230, 0.230, 0.850], [0.482, 0.482, 0.824], [0.518, 0.518, 0.176], [0.770, 0.770, 0.150]], "formation_energy_uncorrected_mev_per_atom": -1051, "total_energy_ev_per_atom": -6.15, "n_ef_per_ev_fu": 4.948}

# 5
{"formula": "LuTiCoNi", "functional": "PBE", "state": "relaxed", "cell": [[0.000, 3.140, 3.140], [3.140, 0.000, 3.140], [3.140, 3.140, 0.000]], "species": ["Lu", "Ti", "Co", "Ni"], "fractional_positions": [[0.000, 0.000, 0.000], [0.500, 0.500, 0.500], [0.250, 0.250, 0.250], [0.750, 0.750, 0.750]], "e_form_ev_per_atom": -0.2814, "total_energy_ev_per_atom": -6.61, "n_ef_per_ev_fu": 4.301}

# 6
{"formula": "Dy3Ho2Mg2", "functional": "PBE", "state": "relaxed", "cell": [[2.617, -11.435, 0.000], [2.617, 11.435, 0.000], [0.000, 0.000, 3.458]], "species": ["Dy", "Dy", "Dy", "Ho", "Ho", "Mg", "Mg"], "fractional_positions": [[0.000, 0.000, 0.000], [0.150, 0.850, 0.000], [0.850, 0.150, 0.000], [0.288, 0.712, 0.500], [0.712, 0.288, 0.500], [0.431, 0.569, 0.500], [0.569, 0.431, 0.500]], "e_form_ev_per_atom": 0.0410, "total_energy_ev_per_atom": -3.69, "n_ef_per_ev_fu": 7.245}